*w*
YTc3Ru, optimized geometry, DFT GGA-PBE; total magnetic moment = 0.0 Bohr magnetons per cell; Fermi-level density of states = 1.146 states/eV/atom
1.0
4.687 0.000 0.000
0.000 4.687 0.000
0.000 0.000 4.687
Y Tc Ru
1 3 1
direct
0.000 0.000 0.000
0.000 0.500 0.500
0.500 0.000 0.500
0.500 0.500 0.000
0.500 0.500 0.500

*x*
YTc3Ru, optimized geometry, DFT GGA-PBE; total magnetic moment = 0.0 Bohr magnetons per cell; Fermi-level density of states = 2.034 states/eV/atom
1.0
4.660 0.000 0.000
0.000 4.660 0.000
0.000 0.000 4.660
Y Tc Ru
1 3 1
direct
0.000 0.000 0.000
0.000 0.000 0.500
0.000 0.500 0.000
0.500 0.000 0.000
0.500 0.500 0.500

*w* takes first place; second place is 1681 meV/atom up.